# Na2Sm2UTe6

A relaxed Na2Sm2UTe6 crystal (PBE, the Alexandria database).

Unit cell a=7.710 b=7.710 c=8.027 alpha=99.37 beta=99.37 gamma=119.63
Site moments in Bohr magnetons follow the coordinates.
Fractional coordinates of all 11 atoms:
Sm 0.333 0.667 0.500  0.01
Te 0.753 0.753 0.732  -0.04
Te 0.081 0.405 0.734  -0.03
Te 0.405 0.081 0.734  -0.03
Te 0.247 0.247 0.268  -0.04
U 0.000 0.000 0.500  2.19
Te 0.595 0.919 0.266  -0.03
Te 0.919 0.595 0.266  -0.03
Na 0.830 0.170 0.000  0.00
Sm 0.667 0.333 0.500  0.01
Na 0.170 0.830 0.000  0.00

Summary:
ΔE_f (raw)   -1.1135 eV/atom
Crystal system   monoclinic
N(E_F)   7.1 states/eV/cell
Calculated total energy   -4.9512 eV per atom